Entry 1:
Below is ScCuOs2 after structural relaxation, with properties calculated at the PBE level.

Output
- ρ: 13.2 g/cm³
- ΔH_f (0 K): 1.066 eV/f.u.
- Total energy: -31.821 eV per formula unit

The structure in CIF format:
```
data_ScCuOs2
_space_group_name_H-M_alt 'R 3 m'
_space_group_IT_number 160
_space_group_name_Hall 'R 3 -2"'
_cell_length_a 2.8017
_cell_length_b 2.8017
_cell_length_c 27.1366
_cell_angle_alpha 90.00
_cell_angle_beta 90.00
_cell_angle_gamma 120.00
loop_
_atom_site_label
_atom_site_type_symbol
_atom_site_fract_x
_atom_site_fract_y
_atom_site_fract_z
_atom_site_occupancy
Sc1 Sc 0.0000 0.0000 0.0000 1
Cu1 Cu 0.0000 0.0000 0.7525 1
Os1 Os 0.0000 0.0000 0.2435 1
Os2 Os 0.0000 0.0000 0.4998 1
```



Entry 2:
Below is LiYZr after structural relaxation, with properties calculated at the PBE level.

Output
- ρ: 4.2 g/cm³
- ΔH_f (0 K): 0.649 eV/f.u.
- Total energy: -16.277 eV per formula unit

The structure in CIF format:
```
data_LiYZr
_space_group_name_H-M_alt 'A m m 2'
_space_group_IT_number 38
_cell_length_a 5.439
_cell_length_b 10.693
_cell_length_c 5.102
_cell_angle_alpha 90.00
_cell_angle_beta 90.00
_cell_angle_gamma 90.00
loop_
_space_group_symop_operation_xyz
'x,y,z'
'-x,-y,z'
'-x,y,z'
'x,-y,z'
'x,y+1/2,z+1/2'
'-x,-y+1/2,z+1/2'
'-x,y+1/2,z+1/2'
'x,-y+1/2,z+1/2'
loop_
_atom_site_label
_atom_site_type_symbol
_atom_site_fract_x
_atom_site_fract_y
_atom_site_fract_z
_atom_site_occupancy
Li1 Li 0.000 0.183 0.000 1
Y1 Y 0.000 0.000 0.499 1
Y2 Y 0.500 0.000 0.995 1
Zr1 Zr 0.500 0.195 0.493 1
```



Entry 3:
Below is La4Te2PN2 after structural relaxation, with properties calculated at the PBE level.

Output
- ρ: 5.9 g/cm³
- Energy relative to the elements, uncorrected: -13.4 eV per formula unit
- Total energy: -61.468 eV per formula unit

The structure in CIF format:
```
data_La4Te2PN2
_space_group_name_H-M_alt 'C 1 2/m 1'
_space_group_IT_number 12
_cell_length_a 16.317
_cell_length_b 4.247
_cell_length_c 7.589
_cell_angle_alpha 90.00
_cell_angle_beta 111.41
_cell_angle_gamma 90.00
loop_
_space_group_symop_operation_xyz
'x,y,z'
'-x,-y,-z'
'-x,y,-z'
'x,-y,z'
'x+1/2,y+1/2,z'
'-x+1/2,-y+1/2,-z'
'-x+1/2,y+1/2,-z'
'x+1/2,-y+1/2,z'
loop_
_atom_site_label
_atom_site_type_symbol
_atom_site_fract_x
_atom_site_fract_y
_atom_site_fract_z
_atom_site_occupancy
La1 La 0.039 0.000 0.269 1
La2 La 0.213 0.500 0.657 1
Te1 Te 0.127 0.500 0.022 1
P1 P 0.000 0.500 0.500 1
N1 N 0.177 0.000 0.482 1
```



Look up the total energy of the second one. -16.277 eV per formula unit



What is the ρ in the third record? 5.9 g/cm³



Please write out number 2 again, unchanged.
Below is LiYZr after structural relaxation, with properties calculated at the PBE level.

Output
- ρ: 4.2 g/cm³
- ΔH_f (0 K): 0.649 eV/f.u.
- Total energy: -16.277 eV per formula unit

The structure in CIF format:
```
data_LiYZr
_space_group_name_H-M_alt 'A m m 2'
_space_group_IT_number 38
_cell_length_a 5.439
_cell_length_b 10.693
_cell_length_c 5.102
_cell_angle_alpha 90.00
_cell_angle_beta 90.00
_cell_angle_gamma 90.00
loop_
_space_group_symop_operation_xyz
'x,y,z'
'-x,-y,z'
'-x,y,z'
'x,-y,z'
'x,y+1/2,z+1/2'
'-x,-y+1/2,z+1/2'
'-x,y+1/2,z+1/2'
'x,-y+1/2,z+1/2'
loop_
_atom_site_label
_atom_site_type_symbol
_atom_site_fract_x
_atom_site_fract_y
_atom_site_fract_z
_atom_site_occupancy
Li1 Li 0.000 0.183 0.000 1
Y1 Y 0.000 0.000 0.499 1
Y2 Y 0.500 0.000 0.995 1
Zr1 Zr 0.500 0.195 0.493 1
```



What did the first record say?
Below is ScCuOs2 after structural relaxation, with properties calculated at the PBE level.

Output
- ρ: 13.2 g/cm³
- ΔH_f (0 K): 1.066 eV/f.u.
- Total energy: -31.821 eV per formula unit

The structure in CIF format:
```
data_ScCuOs2
_space_group_name_H-M_alt 'R 3 m'
_space_group_IT_number 160
_space_group_name_Hall 'R 3 -2"'
_cell_length_a 2.8017
_cell_length_b 2.8017
_cell_length_c 27.1366
_cell_angle_alpha 90.00
_cell_angle_beta 90.00
_cell_angle_gamma 120.00
loop_
_atom_site_label
_atom_site_type_symbol
_atom_site_fract_x
_atom_site_fract_y
_atom_site_fract_z
_atom_site_occupancy
Sc1 Sc 0.0000 0.0000 0.0000 1
Cu1 Cu 0.0000 0.0000 0.7525 1
Os1 Os 0.0000 0.0000 0.2435 1
Os2 Os 0.0000 0.0000 0.4998 1
```